Entry 1:
Compound: ErCr2F8
Source: the Alexandria database
Functional: GGA+U
Structure: optimized geometry

abc: 5.298 5.485 5.485
angles: 76.57 100.17 100.17
Element x y z (fractional)
Er: 0.000 0.000 0.000
Cr: 0.468 0.685 0.685
Cr: 0.532 0.315 0.315
F: 0.303 0.334 0.955
F: 0.697 0.045 0.666
F: 0.209 0.818 0.818
F: 0.791 0.182 0.182
F: 0.303 0.955 0.334
F: 0.697 0.666 0.045
F: 0.738 0.563 0.563
F: 0.262 0.437 0.437

Results
- ΔE to the lowest computed polymorph (eV per formula unit) = 0.820
- space-group type = No. 12
- final energy (eV/atom) = -6.195
- crystal system = monoclinic

Entry 2:
Compound: ErCr2F8
Source: the Alexandria database
Functional: GGA+U
Structure: optimized geometry

abc: 4.385 6.071 7.162
angles: 126.16 90.01 92.22
Element x y z (fractional)
Cr: 0.260 0.239 0.619
Cr: 0.740 0.761 0.381
F: 0.245 0.823 0.411
F: 0.755 0.177 0.589
F: 0.754 0.789 0.120
F: 0.246 0.211 0.332
F: 0.260 0.637 0.819
F: 0.246 0.211 0.880
F: 0.754 0.789 0.668
F: 0.740 0.363 0.181
Er: 0.000 0.000 0.000

Results
- ΔE to the lowest computed polymorph (eV per formula unit) = 0.000
- space-group type = No. 12
- final energy (eV/atom) = -6.269
- crystal system = monoclinic

Entry 3:
Compound: Er2CrF8
Source: the Alexandria database
Functional: GGA+U
Structure: optimized geometry

abc: 3.434 5.695 7.511
angles: 105.43 103.21 90.00
Element x y z (fractional)
Cr: 0.500 0.000 0.000
F: 0.599 0.496 0.198
F: 0.318 0.030 0.637
F: 0.216 0.335 0.432
F: 0.041 0.836 0.082
F: 0.784 0.665 0.568
F: 0.682 0.970 0.363
F: 0.401 0.504 0.802
F: 0.959 0.164 0.918
Er: 0.181 0.698 0.361
Er: 0.819 0.302 0.639

Results
- ΔE to the lowest computed polymorph (eV per formula unit) = 0.363
- space-group type = No. 12
- final energy (eV/atom) = -6.540
- crystal system = monoclinic

Entry 4:
Compound: Er2CrF8
Source: the Alexandria database
Functional: GGA+U
Structure: optimized geometry

abc: 5.051 5.819 5.819
angles: 73.27 101.84 101.84
Element x y z (fractional)
Er: 0.578 0.321 0.321
Er: 0.422 0.679 0.679
Cr: 0.000 0.000 0.000
F: 0.711 0.041 0.653
F: 0.289 0.347 0.959
F: 0.782 0.148 0.148
F: 0.218 0.852 0.852
F: 0.711 0.653 0.041
F: 0.289 0.959 0.347
F: 0.241 0.436 0.436
F: 0.759 0.564 0.564

Results
- ΔE to the lowest computed polymorph (eV per formula unit) = 0.000
- space-group type = No. 12
- final energy (eV/atom) = -6.573
- crystal system = monoclinic

Entry 5:
Compound: Li2ErCrF8
Source: the Alexandria database
Functional: GGA+U
Structure: optimized geometry

abc: 4.758 4.762 6.529
angles: 90.00 90.00 89.80
Element x y z (fractional)
Li: 0.500 0.500 0.764
Li: 0.500 0.500 0.236
Er: 0.000 0.000 0.500
Cr: 0.000 0.000 0.000
F: 0.194 0.806 0.228
F: 0.714 0.714 0.000
F: 0.806 0.194 0.228
F: 0.806 0.194 0.772
F: 0.286 0.286 0.000
F: 0.194 0.806 0.772
F: 0.687 0.688 0.500
F: 0.313 0.312 0.500

Results
- space-group type = No. 65
- final energy (eV/atom) = -5.813
- crystal system = orthorhombic

Entry 6:
Compound: ErCrO4F
Source: the Alexandria database
Functional: GGA+U
Structure: optimized geometry

abc: 5.842 5.842 6.669
angles: 76.80 76.80 75.67
Element x y z (fractional)
Er: 0.204 0.204 0.896
Er: 0.796 0.796 0.104
Cr: 0.651 0.651 0.722
Cr: 0.349 0.349 0.278
O: 0.259 0.259 0.528
O: 0.741 0.741 0.472
O: 0.115 0.483 0.153
O: 0.532 0.532 0.243
O: 0.517 0.885 0.847
O: 0.483 0.115 0.153
O: 0.468 0.468 0.757
O: 0.885 0.517 0.847
F: 0.013 0.013 0.179
F: 0.987 0.987 0.821

Results
- space-group type = No. 12
- final energy (eV/atom) = -7.196
- crystal system = monoclinic